Record 1
Density functional theory data (PBE) for a geometry-optimized Ba4CdHg3 structure.

The formation energy comes out at -0.472 eV per atom. The total energy comes out at -1.6612 eV/atom.

It has space group C2/m (No. 12), with a = 18.009 Å, b = 5.951 Å, c = 5.954 Å, α = 90.00°, β = 109.24° and γ = 90.00°. The asymmetric unit holds Ba at (0.126, 0.000, 0.126), Ba at (0.126, 0.500, 0.626), Cd at (0.000, 0.000, 0.500), Hg at (0.000, 0.500, 0.000) and Hg at (0.249, 0.000, 0.749).

Record 2
Density functional theory data (PBE) for a geometry-optimized Ba2Cd4Hg9 structure.

The formation energy comes out at -0.219 eV per atom. The total energy comes out at -0.9005 eV/atom.

It has space group P-3m1 (No. 164), with a = 5.1630 Å, b = 5.1630 Å, c = 18.6618 Å, α = 90.00°, β = 90.00° and γ = 120.00°. The asymmetric unit holds Ba at (0.3333, 0.6667, 0.2615), Cd at (0.3333, 0.6667, 0.6128), Cd at (0.3333, 0.6667, 0.8799), Hg at (0.0000, 0.0000, 0.0000), Hg at (0.0000, 0.0000, 0.1662), Hg at (0.0000, 0.0000, 0.3663), Hg at (0.3333, 0.6667, 0.0596) and Hg at (0.3333, 0.6667, 0.4535).

Record 3
Density functional theory data (PBE) for a geometry-optimized Ba2Cd3Hg6 structure.

The calculation puts the distance to the lowest polymorph of the same formula at 0.0 meV per atom. The formation energy comes out at -0.261 eV per atom. The total energy comes out at -1.0252 eV/atom.

It has space group P-62m (No. 189), with a = 8.7266 Å, b = 8.7266 Å, c = 5.1197 Å, α = 90.00°, β = 90.00° and γ = 120.00°. The asymmetric unit holds Ba at (0.3333, 0.6667, 0.0000), Cd at (0.0000, 0.6480, 0.5000), Hg at (0.0000, 0.3188, 0.5000) and Hg at (0.0000, 0.8027, 0.0000).

Record 4
Density functional theory data (PBE) for a geometry-optimized BaCdHg4 structure.

The calculation puts the distance to the lowest polymorph of the same formula at 9.3 meV per atom. The formation energy comes out at -0.233 eV per atom. The total energy comes out at -0.9069 eV/atom.

It has space group Pbam (No. 55), with a = 9.327 Å, b = 19.165 Å, c = 3.969 Å, α = 90.00°, β = 90.00° and γ = 90.00°. The asymmetric unit holds Ba at (0.127, 0.163, 0.000), Cd at (0.122, 0.421, 0.000), Hg at (0.030, 0.686, 0.500), Hg at (0.103, 0.945, 0.500), Hg at (0.155, 0.545, 0.500) and Hg at (0.219, 0.805, 0.500).